Entry 1:
First-principles (PBE) data for crystalline Li2Er3Cd4 at its relaxed geometry, as listed in the Alexandria database.

a = 9.0071 Å, b = 5.1923 Å, c = 9.1035 Å
α = 90.00°, β = 97.52°, γ = 90.00°
Space group C2/m (No. 12)
Symmetry-distinct sites (fractional):
Li 0.2122 0.0000 0.4114 (multiplicity 4)
Er 0.0000 0.5000 0.0000 (multiplicity 2)
Er 0.1357 0.0000 0.7533 (multiplicity 4)
Cd 0.0438 0.5000 0.3536 (multiplicity 4)
Cd 0.1833 0.0000 0.1063 (multiplicity 4)

Summary:
Its total energy is -2.584 eV/atom. The calculation puts the formation energy at -0.23 eV per atom. As for the energy above the most stable polymorph in this dataset: 0.000 eV/atom.


Entry 2:
First-principles (PBE) data for crystalline Tm6CuS5 at its relaxed geometry, as listed in the Alexandria database.

a = 6.7064 Å, b = 11.6232 Å, c = 6.6955 Å
α = 90.00°, β = 109.61°, γ = 90.00°
Space group C2/m (No. 12)
Symmetry-distinct sites (fractional):
Tm 0.2462 0.1652 0.2457 (multiplicity 8)
Tm 0.2468 0.0000 0.7515 (multiplicity 4)
Cu 0.0000 0.0000 0.0000 (multiplicity 2)
S 0.0000 0.1714 0.5000 (multiplicity 4)
S 0.0000 0.3347 0.0000 (multiplicity 4)
S 0.0000 0.5000 0.5000 (multiplicity 2)

Summary:
Its total energy is -5.958 eV/atom. The value obtained for the raw formation energy is -38.32 kcal/mol of atoms.